Li5In2Ag5: relaxed, GGA-PBE.

DFT formation energy = -207 meV per atom
VASP energy = -2.65 eV/atom

Cell: 6.963 6.963 8.613 Å, 120.10 120.10 36.19°
Sites, in units of the cell vectors:
Li 0.000 0.000 0.000
Li 0.086 0.086 0.763
Li 0.247 0.247 0.238
Li 0.753 0.753 0.762
Li 0.914 0.914 0.237
In 0.160 0.160 0.500
In 0.840 0.840 0.500
Ag 0.327 0.327 0.999
Ag 0.420 0.420 0.765
Ag 0.500 0.500 0.500
Ag 0.580 0.580 0.235
Ag 0.673 0.673 0.001

---

CdIn4Pb15: relaxed, GGA-PBE.

DFT formation energy = 19 meV per atom
VASP energy = -3.36 eV/atom

Cell: 4.914 4.914 25.182 Å, 90.00 90.00 90.00°
Sites, in units of the cell vectors:
Cd 0.000 0.000 0.000
In 0.000 0.000 0.198
In 0.000 0.000 0.399
In 0.000 0.000 0.601
In 0.000 0.000 0.802
Pb 0.000 0.500 0.098
Pb 0.000 0.500 0.298
Pb 0.000 0.500 0.500
Pb 0.000 0.500 0.702
Pb 0.000 0.500 0.902
Pb 0.500 0.000 0.098
Pb 0.500 0.000 0.298
Pb 0.500 0.000 0.500
Pb 0.500 0.000 0.702
Pb 0.500 0.000 0.902
Pb 0.500 0.500 0.000
Pb 0.500 0.500 0.198
Pb 0.500 0.500 0.399
Pb 0.500 0.500 0.601
Pb 0.500 0.500 0.802

---

Pm5Er3Sc2: relaxed, GGA-PBE.

DFT formation energy = 41 meV per atom
VASP energy = -4.97 eV/atom

Cell: 9.321 9.322 9.341 Å, 106.52 106.85 115.07°
Sites, in units of the cell vectors:
Pm 0.022 0.075 0.345
Pm 0.129 0.379 0.751
Pm 0.228 0.677 0.155
Pm 0.378 0.127 0.249
Pm 0.474 0.428 0.653
Pm 0.526 0.572 0.347
Pm 0.622 0.873 0.751
Pm 0.772 0.323 0.845
Pm 0.871 0.621 0.249
Pm 0.978 0.925 0.655
Er 0.076 0.228 0.053
Er 0.276 0.822 0.848
Er 0.323 0.973 0.553
Er 0.677 0.027 0.447
Er 0.724 0.178 0.152
Er 0.924 0.772 0.947
Sc 0.169 0.523 0.450
Sc 0.425 0.274 0.949
Sc 0.575 0.726 0.051
Sc 0.831 0.477 0.550

---

SbIr2Au: relaxed, GGA-PBE.

VASP energy = -5.72 eV/atom
energy relative to the elements, uncorrected = 562 meV/atom

Cell: 2.946 2.946 9.315 Å, 90.00 90.00 119.54°
Sites, in units of the cell vectors:
Sb 0.000 0.000 0.000
Ir 0.500 0.500 0.245
Ir 0.500 0.500 0.755
Au 0.000 0.000 0.500

---

BaHg2P: relaxed, GGA-PBE.

DFT formation energy = -258 meV per atom
VASP energy = -2.24 eV/atom

Cell: 6.431 6.431 6.431 Å, 44.01 44.01 44.01°
Sites, in units of the cell vectors:
Ba 0.000 0.000 0.000
Hg 0.222 0.222 0.222
Hg 0.778 0.778 0.778
P 0.500 0.500 0.500

---

YHfFeCo: relaxed, GGA-PBE.

DFT formation energy = -94 meV per atom
VASP energy = -8.09 eV/atom

Cell: 4.575 4.575 4.575 Å, 60.00 60.00 60.00°
Sites, in units of the cell vectors:
Y 0.000 0.000 0.000
Hf 0.500 0.500 0.500
Fe 0.250 0.250 0.250
Co 0.750 0.750 0.750

---

AlCo2Ni2: relaxed, GGA-PBE.

excess energy over the best structure of this formula in the dataset = 0.00 kcal/mol of atoms
DFT formation energy = 36 meV per atom
VASP energy = -5.87 eV/atom

Cell: 6.708 6.708 2.663 Å, 90.00 90.00 90.00°
Sites, in units of the cell vectors:
Al 0.000 0.000 0.000
Al 0.500 0.500 0.000
Co 0.173 0.327 0.500
Co 0.327 0.827 0.500
Co 0.673 0.173 0.500
Co 0.827 0.673 0.500
Ni 0.124 0.624 0.000
Ni 0.376 0.124 0.000
Ni 0.624 0.876 0.000
Ni 0.876 0.376 0.000

---

NdDy2Ag3S6: relaxed, GGA-PBE.

VASP energy = -5.23 eV/atom
energy relative to the elements, uncorrected = -1291 meV/atom

Cell: 8.037 8.037 9.537 Å, 104.82 104.82 29.57°
Sites, in units of the cell vectors:
Nd 0.000 0.000 0.000
Dy 0.334 0.334 0.663
Dy 0.666 0.666 0.337
Ag 0.000 0.000 0.500
Ag 0.328 0.328 0.057
Ag 0.672 0.672 0.943
S 0.157 0.157 0.521
S 0.187 0.187 0.146
S 0.489 0.489 0.201
S 0.511 0.511 0.799
S 0.813 0.813 0.854
S 0.843 0.843 0.479

---

SiO: relaxed, GGA-PBE.

VASP energy = -6.44 eV/atom
energy relative to the elements, uncorrected = -1250 meV/atom

Cell: 2.799 2.623 4.171 Å, 90.00 90.17 90.00°
Sites, in units of the cell vectors:
Si 0.000 0.000 0.000
O 0.501 0.000 0.225

---

LiVCd: relaxed, GGA-PBE.

excess energy over the best structure of this formula in the dataset = 2.84 kcal/mol of atoms
DFT formation energy = 255 meV per atom
VASP energy = -3.73 eV/atom

Cell: 4.058 4.989 5.833 Å, 69.54 85.49 68.60°
Sites, in units of the cell vectors:
Li 0.000 0.000 0.000
Li 0.000 0.000 0.500
V 0.369 0.389 0.108
V 0.631 0.611 0.892
Cd 0.335 0.303 0.661
Cd 0.665 0.697 0.339

---

Rb2PmZn2Te4: relaxed, GGA-PBE.

VASP energy = -3.30 eV/atom
energy relative to the elements, uncorrected = -873 meV/atom

Cell: 8.661 8.661 8.579 Å, 108.33 108.33 31.81°
Sites, in units of the cell vectors:
Rb 0.132 0.132 0.063
Rb 0.868 0.868 0.937
Pm 0.000 0.000 0.500
Zn 0.326 0.326 0.505
Zn 0.674 0.674 0.495
Te 0.203 0.203 0.668
Te 0.484 0.484 0.739
Te 0.516 0.516 0.261
Te 0.797 0.797 0.332

---

Ba3Mg4Tl4: relaxed, GGA-PBE.

excess energy over the best structure of this formula in the dataset = 0.00 kcal/mol of atoms
DFT formation energy = -257 meV per atom
VASP energy = -2.22 eV/atom

Cell: 9.818 9.818 9.818 Å, 150.12 129.90 59.43°
Sites, in units of the cell vectors:
Ba 0.000 0.000 0.000
Ba 0.372 0.872 0.500
Ba 0.628 0.128 0.500
Mg 0.017 0.329 0.689
Mg 0.360 0.671 0.689
Mg 0.640 0.329 0.311
Mg 0.983 0.671 0.311
Tl 0.218 0.218 0.000
Tl 0.310 0.500 0.810
Tl 0.690 0.500 0.190
Tl 0.782 0.782 0.000

---

LiMg7Rh4: relaxed, GGA-PBE.

DFT formation energy = -254 meV per atom
VASP energy = -3.79 eV/atom

Cell: 6.711 6.711 9.276 Å, 123.75 123.75 40.53°
Sites, in units of the cell vectors:
Li 0.000 0.000 0.000
Mg 0.070 0.070 0.355
Mg 0.220 0.220 0.869
Mg 0.325 0.325 0.383
Mg 0.500 0.500 0.000
Mg 0.675 0.675 0.617
Mg 0.780 0.780 0.131
Mg 0.930 0.930 0.645
Rh 0.310 0.310 0.657
Rh 0.431 0.431 0.212
Rh 0.569 0.569 0.788
Rh 0.690 0.690 0.343

---

CsCd2GaAu: relaxed, GGA-PBE.

excess energy over the best structure of this formula in the dataset = 0.34 kcal/mol of atoms
DFT formation energy = -46 meV per atom
VASP energy = -1.84 eV/atom

Cell: 5.526 5.526 5.197 Å, 90.00 90.00 90.00°
Sites, in units of the cell vectors:
Cs 0.000 0.000 0.000
Cd 0.000 0.500 0.500
Cd 0.500 0.000 0.500
Ga 0.500 0.500 0.500
Au 0.500 0.500 0.000

---

KGeAs2Br: relaxed, GGA-PBE.

excess energy over the best structure of this formula in the dataset = 27.43 kcal/mol of atoms
VASP energy = -2.18 eV/atom
energy relative to the elements, uncorrected = 1154 meV/atom

Cell: 6.053 6.053 5.698 Å, 90.00 90.00 90.00°
Sites, in units of the cell vectors:
K 0.000 0.000 0.000
Ge 0.500 0.500 0.500
As 0.000 0.500 0.000
As 0.500 0.000 0.000
Br 0.000 0.000 0.500

---

ThZnCuPt: relaxed, GGA-PBE.

excess energy over the best structure of this formula in the dataset = 0.00 kcal/mol of atoms
DFT formation energy = -615 meV per atom
VASP energy = -5.32 eV/atom

Cell: 5.324 5.324 5.324 Å, 48.82 48.82 48.82°
Sites, in units of the cell vectors:
Th 0.000 0.000 0.000
Zn 0.496 0.496 0.496
Cu 0.790 0.790 0.790
Pt 0.217 0.217 0.217

---

Pa2GaPt6: relaxed, GGA-PBE.

DFT formation energy = -896 meV per atom
VASP energy = -7.37 eV/atom

Cell: 5.689 5.689 5.930 Å, 90.00 90.00 120.00°
Sites, in units of the cell vectors:
Pa 0.333 0.667 0.320
Pa 0.667 0.333 0.680
Ga 0.000 0.000 0.500
Pt 0.173 0.347 0.810
Pt 0.173 0.827 0.810
Pt 0.347 0.173 0.190
Pt 0.653 0.827 0.810
Pt 0.827 0.173 0.190
Pt 0.827 0.653 0.190

---

ErZn4Rh: relaxed, GGA-PBE.

DFT formation energy = -474 meV per atom
VASP energy = -3.31 eV/atom

Cell: 5.107 5.107 5.107 Å, 60.00 60.00 60.00°
Sites, in units of the cell vectors:
Er 0.000 0.000 0.000
Zn 0.376 0.376 0.376
Zn 0.376 0.376 0.872
Zn 0.376 0.872 0.376
Zn 0.872 0.376 0.376
Rh 0.750 0.750 0.750

---

YMoOs2: relaxed, GGA-PBE.

excess energy over the best structure of this formula in the dataset = 4.86 kcal/mol of atoms
DFT formation energy = 285 meV per atom
VASP energy = -9.65 eV/atom

Cell: 5.812 5.812 5.812 Å, 150.74 132.04 57.18°
Sites, in units of the cell vectors:
Y 0.000 0.000 0.000
Mo 0.286 0.786 0.500
Os 0.511 0.511 0.000
Os 0.723 0.223 0.500

---

AcGaBi2O8: relaxed, GGA-PBE.

VASP energy = -6.00 eV/atom
energy relative to the elements, uncorrected = -1451 meV/atom

Cell: 5.088 6.951 5.097 Å, 90.00 94.78 90.00°
Sites, in units of the cell vectors:
Ac 0.000 0.000 0.000
Ga 0.000 0.500 0.000
Bi 0.500 0.267 0.500
Bi 0.500 0.733 0.500
O 0.189 0.290 0.198
O 0.189 0.710 0.198
O 0.304 0.500 0.704
O 0.336 0.000 0.677
O 0.664 0.000 0.323
O 0.696 0.500 0.296
O 0.811 0.290 0.802
O 0.811 0.710 0.802